Below is SrV3Br after structural relaxation, with properties calculated at the PBE-GGA level.

It has space group Pm-3m (No. 221), with a = 4.752 Å, b = 4.752 Å, c = 4.752 Å, α = 90.00°, β = 90.00° and γ = 90.00°. The inequivalent atoms are Sr at (0.000, 0.000, 0.000), V at (0.000, 0.500, 0.500) and Br at (0.500, 0.500, 0.500).

The energy above the most stable polymorph in this dataset is 0 meV/atom.

Below is InNiP2 after structural relaxation, with properties calculated at the PBE-GGA level.

It has space group F-43m (No. 216), with a = 6.368 Å, b = 6.368 Å, c = 6.368 Å, α = 90.00°, β = 90.00° and γ = 90.00°. The inequivalent atoms are In at (0.000, 0.000, 0.000), Ni at (0.250, 0.250, 0.250), P at (0.000, 0.000, 0.500) and P at (0.250, 0.250, 0.750).

For the formation enthalpy at 0 K, the calculation gives 0.5312 eV per atom.

Below is InCu2Pb after structural relaxation, with properties calculated at the PBE-GGA level.

It has space group Pm (No. 6), with a = 3.742 Å, b = 4.170 Å, c = 5.370 Å, α = 90.00°, β = 110.19° and γ = 90.00°. The inequivalent atoms are In at (0.000, 0.000, 0.000), Cu at (0.279, 0.000, 0.573), Cu at (0.428, 0.500, 0.861) and Pb at (0.702, 0.500, 0.419).

For the formation enthalpy at 0 K, the calculation gives 0.1135 eV per atom.

Below is KCuAsO4 after structural relaxation, with properties calculated at the PBE-GGA level.

It has space group I-4 (No. 82), with a = 5.885 Å, b = 5.885 Å, c = 6.799 Å, α = 90.00°, β = 90.00° and γ = 90.00°. The inequivalent atoms are K at (0.000, 0.000, 0.000), Cu at (0.000, 0.000, 0.500), As at (0.000, 0.500, 0.250) and O at (0.120, 0.717, 0.387).

The calculation puts the total DFT energy (no corrections) at -5.425 eV/atom.

Below is CaTb5Tl6 after structural relaxation, with properties calculated at the PBE-GGA level.

It has space group C2/m (No. 12), with a = 9.346 Å, b = 16.215 Å, c = 5.390 Å, α = 90.00°, β = 125.07° and γ = 90.00°. The inequivalent atoms are Ca at (0.000, 0.000, 0.000), Tb at (0.000, 0.163, 0.500), Tb at (0.000, 0.332, 0.000), Tb at (0.000, 0.500, 0.500), Tl at (0.246, 0.500, 0.246) and Tl at (0.248, 0.333, 0.748).

For the formation enthalpy at 0 K, the calculation gives -0.3610 eV per atom.

Below is SmGaPt6 after structural relaxation, with properties calculated at the PBE-GGA level.

It has space group P4/mmm (No. 123), with a = 4.104 Å, b = 4.104 Å, c = 7.984 Å, α = 90.00°, β = 90.00° and γ = 90.00°. The inequivalent atoms are Sm at (0.000, 0.000, 0.000), Ga at (0.000, 0.000, 0.500), Pt at (0.000, 0.500, 0.269), Pt at (0.500, 0.500, 0.000) and Pt at (0.500, 0.500, 0.500).

For the formation enthalpy at 0 K, the calculation gives -0.6694 eV per atom.

Number 1: V 107 Å³ per cell. Number 2: V 258 Å³ per cell. Number 3: V 79 Å³ per cell. Number 4: V 235 Å³ per cell. Number 5: V 669 Å³ per cell. Number 6: V 135 Å³ per cell.